{"formula": "CaAl2Ru2", "functional": "GGA-PBE", "state": "optimized geometry", "crystal_system": "tetragonal", "total_energy_ev_per_atom": -5.9686, "dos_ef_per_ev_fu": 4.576, "lattice": [[7.510, 0.000, 0.000], [0.000, 7.510, 0.000], [0.000, 0.000, 2.917]], "species": ["Al", "Al", "Al", "Al", "Ru", "Ru", "Ru", "Ru", "Ca", "Ca"], "frac_coords": [[0.641, 0.859, 0.500], [0.859, 0.359, 0.500], [0.359, 0.141, 0.500], [0.141, 0.641, 0.500], [0.352, 0.852, 0.000], [0.648, 0.148, 0.000], [0.148, 0.352, 0.000], [0.852, 0.648, 0.000], [0.500, 0.500, 0.000], [0.000, 0.000, 0.000]]}



{"formula": "CaAlRu2", "functional": "GGA-PBE", "state": "optimized geometry", "crystal_system": "orthorhombic", "total_energy_ev_per_atom": -6.0422, "dos_ef_per_ev_fu": 3.730, "lattice": [[2.920, 0.000, 0.000], [0.000, 3.570, 0.000], [0.000, 0.000, 6.988]], "species": ["Ru", "Ru", "Al", "Ca"], "frac_coords": [[0.500, 0.500, 0.236], [0.000, 0.000, 0.067], [0.000, 0.000, 0.436], [0.500, 0.500, 0.760]]}



{"formula": "CaAlRu", "functional": "GGA-PBE", "state": "optimized geometry", "crystal_system": "hexagonal", "total_energy_ev_per_atom": -5.1536, "dos_ef_per_ev_fu": 0.860, "lattice": [[4.312, 0.000, 0.000], [-2.156, 3.734, 0.000], [0.000, 0.000, 3.853]], "species": ["Al", "Ru", "Ca"], "frac_coords": [[0.000, 0.000, 0.833], [0.333, 0.667, 0.833], [0.667, 0.333, 0.333]]}



{"formula": "CaAlRu4", "functional": "GGA-PBE", "state": "optimized geometry", "crystal_system": "cubic", "total_energy_ev_per_atom": -6.9962, "dos_ef_per_ev_fu": 9.356, "lattice": [[0.000, 3.680, 3.680], [3.680, 0.000, 3.680], [3.680, 3.680, 0.000]], "species": ["Ru", "Ru", "Ru", "Ru", "Al", "Ca"], "frac_coords": [[0.376, 0.376, 0.873], [0.376, 0.376, 0.376], [0.873, 0.376, 0.376], [0.376, 0.873, 0.376], [0.750, 0.750, 0.750], [0.000, 0.000, 0.000]]}



{"formula": "Ca2AlRu2", "functional": "GGA-PBE", "state": "optimized geometry", "crystal_system": "tetragonal", "total_energy_ev_per_atom": -5.3546, "dos_ef_per_ev_fu": 5.657, "lattice": [[6.614, 0.000, 0.000], [0.000, 6.614, 0.000], [0.000, 0.000, 4.724]], "species": ["Ca", "Ca", "Ca", "Ca", "Ru", "Ru", "Ru", "Ru", "Al", "Al"], "frac_coords": [[0.326, 0.174, 0.500], [0.174, 0.674, 0.500], [0.674, 0.826, 0.500], [0.826, 0.326, 0.500], [0.131, 0.369, 0.000], [0.631, 0.131, 0.000], [0.869, 0.631, 0.000], [0.369, 0.869, 0.000], [0.500, 0.500, 0.000], [0.000, 0.000, 0.000]]}



{"formula": "CaAl4Ru", "functional": "GGA-PBE", "state": "optimized geometry", "crystal_system": "cubic", "total_energy_ev_per_atom": -4.4543, "dos_ef_per_ev_fu": 3.823, "lattice": [[0.000, 3.733, 3.733], [3.733, 0.000, 3.733], [3.733, 3.733, 0.000]], "species": ["Ca", "Al", "Al", "Al", "Al", "Ru"], "frac_coords": [[0.750, 0.750, 0.750], [0.374, 0.374, 0.877], [0.374, 0.877, 0.374], [0.374, 0.374, 0.374], [0.877, 0.374, 0.374], [0.000, 0.000, 0.000]]}



{"formula": "CaAlRu3", "functional": "GGA-PBE", "state": "optimized geometry", "crystal_system": "cubic", "relative_energy_ev_per_atom": 1.4067, "dos_ef_per_ev_fu": 6.261, "lattice": [[-0.290, 4.113, -2.240], [-4.227, 0.736, 1.899], [2.016, 2.135, 3.659]], "species": ["Ru", "Ru", "Ru", "Ca", "Al"], "frac_coords": [[0.500, 0.000, 0.000], [0.000, 0.500, 0.000], [0.000, 0.000, 0.500], [0.000, 0.000, 0.000], [0.500, 0.500, 0.500]]}



{"formula": "CaAl2Ru", "functional": "GGA-PBE", "state": "optimized geometry", "crystal_system": "orthorhombic", "total_energy_ev_per_atom": -4.7268, "dos_ef_per_ev_fu": 2.205, "lattice": [[5.546, 0.000, -0.002], [2.558, 4.921, 0.002], [-3.492, -3.381, 2.669]], "species": ["Ru", "Ca", "Al", "Al"], "frac_coords": [[0.226, 0.726, 0.500], [0.481, 0.481, 0.000], [0.025, 0.025, 0.000], [0.768, 0.268, 0.500]]}



{"formula": "CaAlRu2", "functional": "GGA-PBE", "state": "optimized geometry", "crystal_system": "tetragonal", "total_energy_ev_per_atom": -6.1143, "dos_ef_per_ev_fu": 4.974, "lattice": [[3.212, 0.000, 0.000], [0.000, 3.211, 0.000], [0.000, 0.000, 6.681]], "species": ["Ru", "Ru", "Al", "Ca"], "frac_coords": [[0.000, 0.000, 0.056], [0.000, 0.000, 0.444], [0.500, 0.500, 0.250], [0.500, 0.500, 0.750]]}



{"formula": "CaAl10Ru2", "functional": "GGA-PBE", "state": "optimized geometry", "crystal_system": "orthorhombic", "total_energy_ev_per_atom": -4.9199, "dos_ef_per_ev_fu": 4.856, "lattice": [[-0.959, -5.342, 4.222], [4.789, -2.946, -3.959], [6.554, 3.205, 5.543]], "species": ["Al", "Al", "Al", "Al", "Al", "Al", "Al", "Al", "Al", "Al", "Al", "Al", "Al", "Al", "Al", "Al", "Al", "Al", "Al", "Al", "Ru", "Ru", "Ru", "Ru", "Ca", "Ca"], "frac_coords": [[0.376, 0.624, 0.045], [0.413, 0.140, 0.750], [0.477, 0.220, 0.250], [0.140, 0.413, 0.250], [0.860, 0.587, 0.750], [0.156, 0.844, 0.600], [0.220, 0.477, 0.750], [0.225, 0.225, 0.500], [0.775, 0.775, 0.000], [0.624, 0.376, 0.545], [0.844, 0.156, 0.400], [0.225, 0.225, 0.000], [0.624, 0.376, 0.955], [0.587, 0.860, 0.250], [0.844, 0.156, 0.100], [0.156, 0.844, 0.900], [0.780, 0.523, 0.250], [0.523, 0.780, 0.750], [0.376, 0.624, 0.455], [0.775, 0.775, 0.500], [0.500, 0.000, 0.000], [0.000, 0.500, 0.000], [0.000, 0.500, 0.500], [0.500, 0.000, 0.500], [0.125, 0.875, 0.250], [0.875, 0.125, 0.750]]}



{"formula": "CaAl2Ru", "functional": "GGA-PBE", "state": "optimized geometry", "crystal_system": "orthorhombic", "total_energy_ev_per_atom": -4.6444, "dos_ef_per_ev_fu": 1.399, "lattice": [[4.865, -0.023, 0.000], [-1.587, 4.599, 0.000], [0.000, 0.000, 3.178]], "species": ["Al", "Al", "Ru", "Ca"], "frac_coords": [[0.500, 0.500, 0.000], [0.000, 0.000, 0.000], [0.000, 0.500, 0.500], [0.500, 0.000, 0.500]]}



{"formula": "CaAlRu", "functional": "GGA-PBE", "state": "optimized geometry", "crystal_system": "cubic", "total_energy_ev_per_atom": -3.9342, "dos_ef_per_ev_fu": 6.996, "lattice": [[-4.546, -0.617, 0.463], [-1.674, -2.065, 3.768], [-2.354, 2.450, 3.118]], "species": ["Al", "Ru", "Ca"], "frac_coords": [[0.500, 0.500, 0.500], [0.000, 0.000, 0.000], [0.750, 0.750, 0.750]]}



{"formula": "CaAl2Ru2", "functional": "GGA-PBE", "state": "optimized geometry", "crystal_system": "tetragonal", "total_energy_ev_per_atom": -5.9080, "dos_ef_per_ev_fu": 1.163, "lattice": [[4.230, 0.000, 0.000], [0.000, 4.230, 0.000], [2.115, 2.115, 5.158]], "species": ["Al", "Al", "Ca", "Ru", "Ru"], "frac_coords": [[0.250, 0.750, 0.500], [0.750, 0.250, 0.500], [0.000, 0.000, 0.000], [0.383, 0.383, 0.235], [0.617, 0.617, 0.765]]}



{"formula": "CaAlRu2", "functional": "GGA-PBE", "state": "optimized geometry", "crystal_system": "monoclinic", "total_energy_ev_per_atom": -6.0391, "dos_ef_per_ev_fu": 4.756, "lattice": [[-4.543, 0.596, -0.442], [-3.395, -0.155, -3.104], [-1.933, -5.222, 0.638]], "species": ["Ru", "Ru", "Ca", "Al"], "frac_coords": [[0.521, 0.521, 0.431], [0.979, 0.979, 0.069], [0.750, 0.750, 0.750], [0.250, 0.250, 0.250]]}



{"formula": "CaAl2Ru", "functional": "GGA-PBE", "state": "optimized geometry", "crystal_system": "tetragonal", "total_energy_ev_per_atom": -5.1298, "dos_ef_per_ev_fu": 1.550, "lattice": [[-0.414, 0.385, -3.081], [2.070, -2.282, -0.563], [-5.530, -5.043, 0.112]], "species": ["Al", "Al", "Ca", "Ru"], "frac_coords": [[0.000, 0.000, 0.932], [0.000, 0.000, 0.568], [0.500, 0.500, 0.250], [0.500, 0.500, 0.750]]}



{"formula": "CaAl2Ru", "functional": "GGA-PBE", "state": "optimized geometry", "crystal_system": "cubic", "total_energy_ev_per_atom": -4.8788, "dos_ef_per_ev_fu": 2.965, "lattice": [[0.000, 3.249, 3.249], [3.249, 0.000, 3.249], [3.249, 3.249, 0.000]], "species": ["Al", "Al", "Ru", "Ca"], "frac_coords": [[0.250, 0.250, 0.250], [0.750, 0.750, 0.750], [0.500, 0.500, 0.500], [0.000, 0.000, 0.000]]}



{"formula": "CaAl2Ru2", "functional": "GGA-PBE", "state": "optimized geometry", "crystal_system": "tetragonal", "total_energy_ev_per_atom": -5.8624, "dos_ef_per_ev_fu": 3.632, "lattice": [[4.497, 0.000, 0.000], [0.000, 4.497, 0.000], [2.249, 2.249, 4.715]], "species": ["Ru", "Ru", "Ca", "Al", "Al"], "frac_coords": [[0.750, 0.250, 0.500], [0.250, 0.750, 0.500], [0.000, 0.000, 0.000], [0.348, 0.348, 0.304], [0.652, 0.652, 0.696]]}



{"formula": "CaAlRu2", "functional": "GGA-PBE", "state": "optimized geometry", "crystal_system": "tetragonal", "total_energy_ev_per_atom": -5.9977, "dos_ef_per_ev_fu": 4.727, "lattice": [[-1.194, -4.307, -0.500], [2.921, 1.155, 3.223], [-2.970, 2.976, 1.604]], "species": ["Ca", "Al", "Ru", "Ru"], "frac_coords": [[0.500, 0.250, 0.750], [0.500, 0.750, 0.250], [0.000, 0.500, 0.500], [0.000, 0.000, 0.000]]}



{"formula": "CaAlRu2", "functional": "GGA-PBE", "state": "optimized geometry", "crystal_system": "monoclinic", "total_energy_ev_per_atom": -5.9644, "dos_ef_per_ev_fu": 5.068, "lattice": [[4.477, 0.000, 0.000], [0.000, 2.997, -0.010], [0.000, 1.236, 5.159]], "species": ["Ca", "Al", "Ru", "Ru"], "frac_coords": [[0.500, 0.750, 0.731], [0.000, 0.359, 0.472], [0.500, 0.375, 0.225], [0.000, 0.017, 0.072]]}



{"formula": "CaAlRu2", "functional": "GGA-PBE", "state": "optimized geometry", "crystal_system": "monoclinic", "total_energy_ev_per_atom": -5.8739, "dos_ef_per_ev_fu": 4.410, "lattice": [[5.374, 0.002, 0.005], [-2.575, 4.566, 0.003], [0.225, 0.866, 2.681]], "species": ["Ru", "Ru", "Al", "Ca"], "frac_coords": [[0.000, 0.000, 0.000], [0.500, 0.000, 0.500], [0.000, 0.500, 0.500], [0.500, 0.500, 0.000]]}



{"formula": "CaAl2Ru2", "functional": "GGA-PBE", "state": "optimized geometry", "crystal_system": "tetragonal", "total_energy_ev_per_atom": -5.9863, "dos_ef_per_ev_fu": 1.826, "lattice": [[7.311, 0.000, 0.000], [0.000, 7.311, 0.000], [0.000, 0.000, 3.062]], "species": ["Al", "Al", "Al", "Al", "Ru", "Ru", "Ru", "Ru", "Ca", "Ca"], "frac_coords": [[0.629, 0.129, 0.000], [0.129, 0.371, 0.000], [0.371, 0.871, 0.000], [0.871, 0.629, 0.000], [0.342, 0.158, 0.500], [0.658, 0.842, 0.500], [0.842, 0.342, 0.500], [0.158, 0.658, 0.500], [0.500, 0.500, 0.000], [0.000, 0.000, 0.000]]}



{"formula": "CaAl2Ru", "functional": "GGA-PBE", "state": "optimized geometry", "crystal_system": "trigonal", "total_energy_ev_per_atom": -5.0313, "dos_ef_per_ev_fu": 3.257, "lattice": [[-0.617, 3.617, 2.283], [-3.082, 2.795, -1.168], [-4.750, -0.436, 3.498]], "species": ["Ca", "Al", "Al", "Ru"], "frac_coords": [[0.494, 0.494, 0.518], [0.026, 0.026, 0.921], [0.301, 0.301, 0.098], [0.679, 0.679, 0.964]]}



{"formula": "CaAl4Ru", "functional": "GGA-PBE", "state": "optimized geometry", "crystal_system": "monoclinic", "total_energy_ev_per_atom": -4.7381, "dos_ef_per_ev_fu": 3.839, "lattice": [[-2.044, 3.090, -1.616], [-4.339, -4.434, -2.990], [-3.725, -1.305, 7.339]], "species": ["Ru", "Ru", "Al", "Al", "Al", "Al", "Al", "Al", "Al", "Al", "Ca", "Ca"], "frac_coords": [[0.728, 0.750, 0.455], [0.272, 0.250, 0.545], [0.425, 0.250, 0.850], [0.000, 0.000, 0.000], [0.000, 0.500, 0.000], [0.184, 0.946, 0.368], [0.184, 0.554, 0.368], [0.575, 0.750, 0.150], [0.816, 0.054, 0.632], [0.816, 0.446, 0.632], [0.618, 0.250, 0.237], [0.382, 0.750, 0.763]]}



{"formula": "CaAl11Ru", "functional": "GGA-PBE", "state": "optimized geometry", "crystal_system": "monoclinic", "total_energy_ev_per_atom": -4.2591, "dos_ef_per_ev_fu": 5.457, "lattice": [[-2.648, -4.274, 1.472], [-0.737, -4.447, -5.541], [4.149, -4.990, 2.297]], "species": ["Ca", "Al", "Al", "Al", "Al", "Al", "Al", "Al", "Al", "Al", "Al", "Al", "Ru"], "frac_coords": [[0.000, 0.000, 0.000], [0.283, 0.226, 0.217], [0.015, 0.640, 0.347], [0.500, 0.774, 0.217], [0.500, 0.000, 0.500], [0.000, 0.000, 0.500], [0.500, 0.226, 0.783], [0.000, 0.500, 0.000], [0.985, 0.360, 0.653], [0.362, 0.640, 0.653], [0.638, 0.360, 0.347], [0.717, 0.774, 0.783], [0.500, 0.500, 0.000]]}



{"formula": "CaAlRu", "functional": "GGA-PBE", "state": "optimized geometry", "crystal_system": "cubic", "total_energy_ev_per_atom": -4.8826, "dos_ef_per_ev_fu": 2.748, "lattice": [[4.484, 0.000, 0.000], [2.242, 3.883, 0.000], [2.242, 1.294, 3.661]], "species": ["Ca", "Al", "Ru"], "frac_coords": [[0.500, 0.500, 0.500], [0.000, 0.000, 0.000], [0.750, 0.750, 0.750]]}



{"formula": "CaAlRu2", "functional": "GGA-PBE", "state": "optimized geometry", "crystal_system": "trigonal", "total_energy_ev_per_atom": -5.9526, "dos_ef_per_ev_fu": 2.531, "lattice": [[-5.016, -6.428, 2.671], [-4.598, -7.240, -0.214], [-2.540, -7.977, 1.878]], "species": ["Ru", "Ru", "Ca", "Al"], "frac_coords": [[0.990, 0.990, 0.990], [0.510, 0.510, 0.510], [0.750, 0.750, 0.750], [0.250, 0.250, 0.250]]}



{"formula": "CaAl2Ru", "functional": "GGA-PBE", "state": "optimized geometry", "crystal_system": "trigonal", "total_energy_ev_per_atom": -5.0542, "dos_ef_per_ev_fu": 2.485, "lattice": [[4.255, -0.013, 0.021], [2.140, 3.678, 0.021], [2.104, 1.206, 5.350]], "species": ["Al", "Al", "Ru", "Ca"], "frac_coords": [[0.452, 0.452, 0.644], [0.048, 0.048, 0.856], [0.750, 0.750, 0.750], [0.250, 0.250, 0.250]]}